# 1
DFT (PBE) results for a relaxed SmVZn crystal.

Lattice parameters (Å, degrees): 3.245 5.126 7.885 102.92 98.85 91.32
Sites, in units of the cell vectors:
Sm 0.000 0.000 0.000
Sm 0.167 0.671 0.522
V 0.313 0.479 0.927
V 0.641 0.557 0.163
Zn 0.617 0.112 0.339
Zn 0.696 0.220 0.670

Values from the calculation:
DOS at the Fermi energy = 0.8382 states/eV/atom
ΔE_f = 0.1535 eV/atom



# 2
DFT (PBE) results for a relaxed BaFe2Ir crystal.

Lattice parameters (Å, degrees): 5.284 5.284 3.029 100.70 100.70 112.51
Sites, in units of the cell vectors:
Ba 0.000 0.000 0.000
Fe 0.000 0.500 0.500
Fe 0.500 0.000 0.500
Ir 0.500 0.500 0.000

Values from the calculation:
DOS at the Fermi energy = 1.0625 states/eV/atom
ΔE_f = 0.9492 eV/atom



# 3
DFT (PBE) results for a relaxed K2Mg crystal.

Lattice parameters (Å, degrees): 7.681 7.681 7.681 60.00 60.00 60.00
Sites, in units of the cell vectors:
K 0.000 0.000 0.000
K 0.000 0.000 0.500
K 0.000 0.500 0.000
K 0.500 0.000 0.000
Mg 0.375 0.375 0.375
Mg 0.625 0.625 0.625

Values from the calculation:
energy above the lowest structure with this stoichiometry = 0.230 eV per atom
DOS at the Fermi energy = 0.7343 states/eV/atom
ΔE_f = 0.3653 eV/atom



# 4
DFT (PBE) results for a relaxed CaTeI3 crystal.

Lattice parameters (Å, degrees): 6.142 6.142 6.142 90.00 90.00 90.00
Sites, in units of the cell vectors:
Ca 0.000 0.000 0.000
Te 0.500 0.500 0.500
I 0.000 0.500 0.500
I 0.500 0.000 0.500
I 0.500 0.500 0.000

Values from the calculation:
energy above the lowest structure with this stoichiometry = 0.276 eV per atom
DOS at the Fermi energy = 0.7404 states/eV/atom
formation energy (no corrections) = -0.211 eV/atom



# 5
DFT (PBE) results for a relaxed CaCoAs crystal.

Lattice parameters (Å, degrees): 9.783 9.783 7.486 95.46 95.46 22.73
Sites, in units of the cell vectors:
Ca 0.063 0.063 0.323
Ca 0.387 0.387 0.158
Ca 0.613 0.613 0.842
Ca 0.937 0.937 0.677
Co 0.250 0.250 0.873
Co 0.252 0.252 0.378
Co 0.748 0.748 0.622
Co 0.750 0.750 0.127
As 0.177 0.177 0.605
As 0.181 0.181 0.110
As 0.819 0.819 0.890
As 0.823 0.823 0.395

Values from the calculation:
DOS at the Fermi energy = 0.8464 states/eV/atom
ΔE_f = -0.4588 eV/atom



# 6
DFT (PBE) results for a relaxed YReB2P crystal.

Lattice parameters (Å, degrees): 4.107 4.107 4.473 90.00 90.00 90.00
Sites, in units of the cell vectors:
Y 0.000 0.000 0.000
Re 0.500 0.500 0.000
B 0.000 0.500 0.500
B 0.500 0.000 0.500
P 0.500 0.500 0.500

Values from the calculation:
DOS at the Fermi energy = 0.4632 states/eV/atom
ΔE_f = 0.9615 eV/atom



# 7
DFT (PBE) results for a relaxed In2FeSnCl crystal.

Lattice parameters (Å, degrees): 5.376 5.376 4.132 90.00 90.00 90.00
Sites, in units of the cell vectors:
In 0.000 0.500 0.000
In 0.500 0.000 0.000
Fe 0.000 0.000 0.000
Sn 0.500 0.500 0.500
Cl 0.000 0.000 0.500

Values from the calculation:
energy above the lowest structure with this stoichiometry = 0.414 eV per atom
DOS at the Fermi energy = 1.3979 states/eV/atom
formation energy (no corrections) = 0.246 eV/atom



# 8
DFT (PBE) results for a relaxed KRbTl crystal.

Lattice parameters (Å, degrees): 6.561 6.561 3.903 90.00 90.00 120.00
Sites, in units of the cell vectors:
K 0.000 0.000 0.000
Rb 0.667 0.333 0.361
Tl 0.333 0.667 0.726

Values from the calculation:
energy above the lowest structure with this stoichiometry = 0.112 eV per atom
DOS at the Fermi energy = 0.8191 states/eV/atom
ΔE_f = 0.0567 eV/atom



# 9
DFT (PBE) results for a relaxed NaLuO2 crystal.

Lattice parameters (Å, degrees): 5.876 5.876 5.876 32.91 32.91 32.91
Sites, in units of the cell vectors:
Na 0.000 0.000 0.000
Lu 0.500 0.500 0.500
O 0.236 0.236 0.236
O 0.764 0.764 0.764

Values from the calculation:
energy above the lowest structure with this stoichiometry = 0.000 eV per atom
DOS at the Fermi energy = 0.0000 states/eV/atom
formation energy (no corrections) = -2.897 eV/atom



# 10
DFT (PBE) results for a relaxed TiIn2Ga crystal.

Lattice parameters (Å, degrees): 4.246 4.246 4.405 90.00 90.00 90.00
Sites, in units of the cell vectors:
Ti 0.000 0.000 0.000
In 0.000 0.500 0.500
In 0.500 0.000 0.500
Ga 0.500 0.500 0.000

Values from the calculation:
DOS at the Fermi energy = 0.6462 states/eV/atom
ΔE_f = -0.0502 eV/atom



# 11
DFT (PBE) results for a relaxed Sc2Rh4S crystal.

Lattice parameters (Å, degrees): 7.312 7.312 7.312 145.28 145.28 49.92
Sites, in units of the cell vectors:
Sc 0.146 0.146 0.000
Sc 0.854 0.854 0.000
Rh 0.000 0.500 0.500
Rh 0.330 0.330 0.000
Rh 0.500 0.000 0.500
Rh 0.670 0.670 0.000
S 0.500 0.500 0.000

Values from the calculation:
DOS at the Fermi energy = 0.8051 states/eV/atom
formation energy (no corrections) = -0.278 eV/atom



# 12
DFT (PBE) results for a relaxed Sr2Li crystal.

Lattice parameters (Å, degrees): 7.073 7.073 7.073 104.63 104.63 119.65
Sites, in units of the cell vectors:
Sr 0.166 0.666 0.832
Sr 0.334 0.166 0.500
Sr 0.666 0.834 0.500
Sr 0.834 0.334 0.168
Li 0.250 0.250 0.000
Li 0.750 0.750 0.000

Values from the calculation:
energy above the lowest structure with this stoichiometry = 0.000 eV per atom
DOS at the Fermi energy = 1.1678 states/eV/atom
ΔE_f = 0.0173 eV/atom



# 13
DFT (PBE) results for a relaxed AcPmSm2Ho4 crystal.

Lattice parameters (Å, degrees): 9.642 9.642 6.928 111.05 111.05 88.44
Sites, in units of the cell vectors:
Ac 0.000 0.500 0.000
Ac 0.500 0.000 0.500
Pm 0.000 0.000 0.000
Pm 0.000 0.000 0.500
Sm 0.000 0.500 0.500
Sm 0.500 0.000 0.000
Sm 0.500 0.500 0.000
Sm 0.500 0.500 0.500
Ho 0.242 0.259 0.500
Ho 0.251 0.749 0.513
Ho 0.251 0.749 0.987
Ho 0.259 0.242 0.000
Ho 0.741 0.758 0.000
Ho 0.749 0.251 0.013
Ho 0.749 0.251 0.487
Ho 0.758 0.741 0.500

Values from the calculation:
DOS at the Fermi energy = 2.3207 states/eV/atom
ΔE_f = 0.4326 eV/atom



# 14
DFT (PBE) results for a relaxed YZr2Ni crystal.

Lattice parameters (Å, degrees): 11.182 11.182 11.182 159.15 159.15 29.66
Sites, in units of the cell vectors:
Y 0.000 0.000 0.000
Y 0.750 0.250 0.500
Zr 0.142 0.625 0.017
Zr 0.375 0.392 0.517
Zr 0.608 0.125 0.983
Zr 0.875 0.858 0.483
Ni 0.250 0.750 0.500
Ni 0.500 0.500 0.000

Values from the calculation:
energy above the lowest structure with this stoichiometry = 0.446 eV per atom
DOS at the Fermi energy = 1.3082 states/eV/atom
ΔE_f = 0.2844 eV/atom



# 15
DFT (PBE) results for a relaxed SrB3Rh6 crystal.

Lattice parameters (Å, degrees): 5.751 5.751 6.000 117.98 117.98 58.06
Sites, in units of the cell vectors:
Sr 0.000 0.000 0.000
B 0.000 0.000 0.500
B 0.344 0.344 0.998
B 0.656 0.656 0.002
Rh 0.088 0.583 0.275
Rh 0.412 0.412 0.719
Rh 0.417 0.912 0.725
Rh 0.583 0.088 0.275
Rh 0.588 0.588 0.281
Rh 0.912 0.417 0.725

Values from the calculation:
DOS at the Fermi energy = 0.6022 states/eV/atom
ΔE_f = -0.3737 eV/atom



# 16
DFT (PBE) results for a relaxed Ca4InGa2 crystal.

Lattice parameters (Å, degrees): 9.087 9.087 9.087 33.54 33.54 33.54
Sites, in units of the cell vectors:
Ca 0.120 0.120 0.120
Ca 0.372 0.372 0.372
Ca 0.628 0.628 0.628
Ca 0.880 0.880 0.880
In 0.500 0.500 0.500
Ga 0.247 0.247 0.247
Ga 0.753 0.753 0.753

Values from the calculation:
energy above the lowest structure with this stoichiometry = 0.000 eV per atom
DOS at the Fermi energy = 0.7232 states/eV/atom
ΔE_f = -0.3580 eV/atom



# 17
DFT (PBE) results for a relaxed Sm2PuPN5 crystal.

Lattice parameters (Å, degrees): 7.249 7.249 10.527 90.00 90.00 153.34
Sites, in units of the cell vectors:
Sm 0.110 0.890 0.500
Sm 0.138 0.862 0.164
Sm 0.862 0.138 0.664
Sm 0.890 0.110 0.000
Pu 0.192 0.808 0.865
Pu 0.808 0.192 0.365
P 0.455 0.545 0.238
P 0.545 0.455 0.738
N 0.022 0.978 0.818
N 0.289 0.711 0.504
N 0.339 0.661 0.206
N 0.340 0.660 0.841
N 0.487 0.513 0.606
N 0.513 0.487 0.106
N 0.660 0.340 0.341
N 0.661 0.339 0.706
N 0.711 0.289 0.004
N 0.978 0.022 0.318

Values from the calculation:
DOS at the Fermi energy = 0.6428 states/eV/atom
formation energy (no corrections) = -0.983 eV/atom



# 18
DFT (PBE) results for a relaxed CsLiAuSe2 crystal.

Lattice parameters (Å, degrees): 6.029 6.029 5.924 90.00 90.00 90.00
Sites, in units of the cell vectors:
Cs 0.000 0.000 0.000
Li 0.500 0.500 0.500
Au 0.000 0.000 0.500
Se 0.000 0.500 0.000
Se 0.500 0.000 0.000

Values from the calculation:
energy above the lowest structure with this stoichiometry = 1.395 eV per atom
DOS at the Fermi energy = 0.6953 states/eV/atom
formation energy (no corrections) = 0.668 eV/atom



# 19
DFT (PBE) results for a relaxed HoCd7Hg4 crystal.

Lattice parameters (Å, degrees): 6.843 6.843 10.339 121.39 121.39 53.32
Sites, in units of the cell vectors:
Ho 0.000 0.000 0.000
Cd 0.037 0.037 0.331
Cd 0.256 0.256 0.000
Cd 0.290 0.290 0.330
Cd 0.500 0.500 0.000
Cd 0.710 0.710 0.670
Cd 0.744 0.744 0.000
Cd 0.963 0.963 0.669
Hg 0.217 0.217 0.680
Hg 0.467 0.467 0.680
Hg 0.533 0.533 0.320
Hg 0.783 0.783 0.320

Values from the calculation:
DOS at the Fermi energy = 0.5116 states/eV/atom
ΔE_f = 0.0333 eV/atom



# 20
DFT (PBE) results for a relaxed MgTl3Pb3 crystal.

Lattice parameters (Å, degrees): 9.323 9.323 5.590 90.00 90.00 120.00
Sites, in units of the cell vectors:
Mg 0.333 0.667 0.250
Mg 0.667 0.333 0.750
Tl 0.054 0.811 0.250
Tl 0.189 0.242 0.250
Tl 0.242 0.054 0.750
Tl 0.758 0.946 0.250
Tl 0.811 0.758 0.750
Tl 0.946 0.189 0.750
Pb 0.099 0.613 0.750
Pb 0.387 0.486 0.750
Pb 0.486 0.099 0.250
Pb 0.514 0.901 0.750
Pb 0.613 0.514 0.250
Pb 0.901 0.387 0.250

Values from the calculation:
DOS at the Fermi energy = 0.3838 states/eV/atom
ΔE_f = -0.0042 eV/atom



# 21
DFT (PBE) results for a relaxed Tc2C3 crystal.

Lattice parameters (Å, degrees): 5.184 4.997 6.124 54.43 51.64 73.92
Sites, in units of the cell vectors:
Tc 0.211 0.789 0.343
Tc 0.593 0.907 0.461
Tc 0.789 0.211 0.657
Tc 0.907 0.593 0.039
C 0.003 0.380 0.791
C 0.031 0.031 0.969
C 0.281 0.281 0.219
C 0.380 0.003 0.826
C 0.424 0.459 0.870
C 0.459 0.424 0.247

Values from the calculation:
energy above the lowest structure with this stoichiometry = 0.000 eV per atom
DOS at the Fermi energy = 0.2555 states/eV/atom
ΔE_f = 0.7422 eV/atom



# 22
DFT (PBE) results for a relaxed TaCdTe crystal.

Lattice parameters (Å, degrees): 4.742 4.742 4.742 60.00 60.00 60.00
Sites, in units of the cell vectors:
Ta 0.000 0.000 0.000
Cd 0.750 0.750 0.750
Te 0.250 0.250 0.250

Values from the calculation:
energy above the lowest structure with this stoichiometry = 0.491 eV per atom
DOS at the Fermi energy = 1.1336 states/eV/atom
formation energy (no corrections) = 0.651 eV/atom



# 23
DFT (PBE) results for a relaxed Mg3CdSi crystal.

Lattice parameters (Å, degrees): 5.051 5.051 5.051 90.00 90.00 90.00
Sites, in units of the cell vectors:
Mg 0.000 0.000 0.500
Mg 0.000 0.500 0.000
Mg 0.500 0.000 0.000
Cd 0.500 0.500 0.500
Si 0.000 0.000 0.000

Values from the calculation:
energy above the lowest structure with this stoichiometry = 0.000 eV per atom
DOS at the Fermi energy = 0.4739 states/eV/atom
formation energy (no corrections) = 0.181 eV/atom



# 24
DFT (PBE) results for a relaxed Mg2ClO crystal.

Lattice parameters (Å, degrees): 4.413 4.413 4.413 60.00 60.00 60.00
Sites, in units of the cell vectors:
Mg 0.250 0.250 0.250
Mg 0.750 0.750 0.750
Cl 0.000 0.000 0.000
O 0.500 0.500 0.500

Values from the calculation:
energy above the lowest structure with this stoichiometry = 0.845 eV per atom
DOS at the Fermi energy = 0.3473 states/eV/atom
formation energy (no corrections) = -0.792 eV/atom



# 25
DFT (PBE) results for a relaxed La3Er6Sc crystal.

Lattice parameters (Å, degrees): 6.848 6.848 6.848 91.91 91.91 91.91
Sites, in units of the cell vectors:
La 0.000 0.000 0.000
La 0.252 0.252 0.252
La 0.748 0.748 0.748
Er 0.087 0.743 0.425
Er 0.257 0.575 0.913
Er 0.425 0.087 0.743
Er 0.575 0.913 0.257
Er 0.743 0.425 0.087
Er 0.913 0.257 0.575
Sc 0.500 0.500 0.500

Values from the calculation:
energy above the lowest structure with this stoichiometry = 0.115 eV per atom
DOS at the Fermi energy = 2.1534 states/eV/atom
ΔE_f = 0.2697 eV/atom